A plane-wave DFT calculation with GGA-PBE was carried out for a relaxed structure of LiHgRh2N. Values from VASP.

Cell and atoms, written as Quantum ESPRESSO input:
```
&SYSTEM
  ibrav = 0, nat = 5, ntyp = 4
/
ATOMIC_SPECIES
N 14.01 N.upf
Li 6.94 Li.upf
Rh 102.91 Rh.upf
Hg 200.59 Hg.upf
CELL_PARAMETERS angstrom
4.035 0.000 0.000
0.000 4.035 0.000
0.000 0.000 4.239
ATOMIC_POSITIONS crystal
N 0.000 0.000 0.000
Li 0.000 0.000 0.500
Rh 0.000 0.500 0.000
Rh 0.500 0.000 0.000
Hg 0.500 0.500 0.500
```

final energy	-25.89	eV/cell
space-group type	No. 123
formation energy (no corrections)	-130	meV per atom
magnetization	0.27	μB per formula unit

---

A plane-wave DFT calculation with GGA-PBE was carried out for a relaxed structure of Mg3TeBr. Values from VASP.

Cell and atoms, written as Quantum ESPRESSO input:
```
&SYSTEM
  ibrav = 0, nat = 5, ntyp = 3
/
ATOMIC_SPECIES
Mg 24.30 Mg.upf
Te 127.60 Te.upf
Br 79.90 Br.upf
CELL_PARAMETERS angstrom
5.770 0.000 0.000
0.000 5.770 0.000
0.000 0.000 5.770
ATOMIC_POSITIONS crystal
Mg 0.000 0.500 0.000
Mg 0.000 0.000 0.500
Mg 0.500 0.000 0.000
Te 0.000 0.000 0.000
Br 0.500 0.500 0.500
```

final energy	-9.43	eV/cell
space-group type	No. 221
formation energy (no corrections)	33	meV per atom
E above lowest polymorph	0	meV/atom
magnetization	0.00	μB per formula unit

---

A plane-wave DFT calculation with GGA-PBE was carried out for a relaxed structure of Zr2PtS6. Values from VASP.

Cell and atoms, written as Quantum ESPRESSO input:
```
&SYSTEM
  ibrav = 0, nat = 9, ntyp = 3
/
ATOMIC_SPECIES
Zr 91.22 Zr.upf
S 32.06 S.upf
Pt 195.08 Pt.upf
CELL_PARAMETERS angstrom
-0.881 3.344 -0.390
-7.110 -0.154 -0.657
-2.375 2.177 8.500
ATOMIC_POSITIONS crystal
Zr 0.688 0.927 0.696
Zr 0.312 0.073 0.304
S 0.977 0.809 0.237
S 0.657 0.219 0.470
S 0.023 0.191 0.763
S 0.343 0.781 0.530
S 0.199 0.725 0.874
S 0.801 0.275 0.126
Pt 0.000 0.000 0.000
```

final energy	-56.71	eV/cell
space-group type	No. 2
formation energy (no corrections)	-978	meV per atom
magnetization	0.00	μB per formula unit

---

A plane-wave DFT calculation with GGA-PBE was carried out for a relaxed structure of CrHg2I. Values from VASP.

Cell and atoms, written as Quantum ESPRESSO input:
```
&SYSTEM
  ibrav = 0, nat = 8, ntyp = 3
/
ATOMIC_SPECIES
Hg 200.59 Hg.upf
I 126.90 I.upf
Cr 52.00 Cr.upf
CELL_PARAMETERS angstrom
9.124 0.000 0.174
0.000 3.882 0.000
-0.231 0.000 6.766
ATOMIC_POSITIONS crystal
Hg 0.811 0.500 0.278
Hg 0.564 0.000 0.107
Hg 0.564 0.500 0.607
Hg 0.811 0.000 0.778
I 0.163 0.000 0.100
I 0.163 0.500 0.600
Cr 0.352 0.500 0.936
Cr 0.352 0.000 0.436
```

final energy	-21.96	eV/cell
space-group type	No. 8
formation energy (no corrections)	199	meV per atom
E above lowest polymorph	77	meV/atom
magnetization	4.56	μB per formula unit

---

A plane-wave DFT calculation with GGA-PBE was carried out for a relaxed structure of LiErSnRh. Values from VASP.

Cell and atoms, written as Quantum ESPRESSO input:
```
&SYSTEM
  ibrav = 0, nat = 4, ntyp = 4
/
ATOMIC_SPECIES
Li 6.94 Li.upf
Sn 118.71 Sn.upf
Rh 102.91 Rh.upf
Er 167.26 Er.upf
CELL_PARAMETERS angstrom
-3.179 1.056 3.309
-4.505 0.673 -1.192
-3.259 -3.168 1.230
ATOMIC_POSITIONS crystal
Li 0.500 0.500 0.500
Sn 0.250 0.250 0.250
Rh 0.000 0.000 0.000
Er 0.750 0.750 0.750
```

energy of formation from the pure elements	-0.72	eV per atom
final energy	-20.73	eV/cell
space-group type	No. 216
magnetization	0.00	μB per formula unit

---

A plane-wave DFT calculation with GGA-PBE was carried out for a relaxed structure of Sr2TmTcO6. Values from VASP.

Cell and atoms, written as Quantum ESPRESSO input:
```
&SYSTEM
  ibrav = 0, nat = 20, ntyp = 4
/
ATOMIC_SPECIES
O 16.00 O.upf
Tm 168.93 Tm.upf
Sr 87.62 Sr.upf
Tc 98.00 Tc.upf
CELL_PARAMETERS angstrom
-3.110 2.746 -4.044
-4.572 -3.432 1.185
-2.559 5.363 5.661
ATOMIC_POSITIONS crystal
O 0.069 0.484 0.764
O 0.270 0.704 0.036
O 0.770 0.796 0.536
O 0.298 0.729 0.462
O 0.230 0.204 0.464
O 0.931 0.516 0.236
O 0.202 0.229 0.038
O 0.431 0.984 0.736
O 0.569 0.016 0.264
O 0.730 0.296 0.964
O 0.702 0.271 0.538
O 0.798 0.771 0.962
Tm 0.500 0.000 0.000
Tm 0.000 0.500 0.500
Sr 0.007 0.968 0.250
Sr 0.493 0.468 0.250
Sr 0.993 0.032 0.750
Sr 0.507 0.532 0.750
Tc 0.000 0.500 0.000
Tc 0.500 0.000 0.500
```

final energy	-148.44	eV/cell
space-group type	No. 14
formation energy (no corrections)	-2627	meV per atom
magnetization	2.00	μB per formula unit

---

A plane-wave DFT calculation with GGA-PBE was carried out for a relaxed structure of TiGe2SbIr. Values from VASP.

Cell and atoms, written as Quantum ESPRESSO input:
```
&SYSTEM
  ibrav = 0, nat = 5, ntyp = 4
/
ATOMIC_SPECIES
Ge 72.64 Ge.upf
Sb 121.76 Sb.upf
Ti 47.87 Ti.upf
Ir 192.22 Ir.upf
CELL_PARAMETERS angstrom
-1.921 -3.709 1.969
2.769 -2.747 -2.472
3.941 0.190 4.202
ATOMIC_POSITIONS crystal
Ge 0.000 0.500 0.000
Ge 0.500 0.000 0.000
Sb 0.000 0.000 0.500
Ti 0.500 0.500 0.500
Ir 0.000 0.000 0.000
```

final energy	-27.35	eV/cell
space-group type	No. 123
formation energy (no corrections)	554	meV per atom
magnetization	0.04	μB per formula unit

---

A plane-wave DFT calculation with GGA-PBE was carried out for a relaxed structure of HfScH2N. Values from VASP.

Cell and atoms, written as Quantum ESPRESSO input:
```
&SYSTEM
  ibrav = 0, nat = 5, ntyp = 4
/
ATOMIC_SPECIES
H 1.01 H.upf
N 14.01 N.upf
Hf 178.49 Hf.upf
Sc 44.96 Sc.upf
CELL_PARAMETERS angstrom
-3.648 1.341 -1.404
-0.682 -3.658 -1.723
-1.816 -1.300 3.477
ATOMIC_POSITIONS crystal
H 0.500 0.000 0.000
H 0.000 0.000 0.500
N 0.000 0.000 0.000
Hf 0.000 0.500 0.000
Sc 0.500 0.500 0.500
```

final energy	-27.36	eV/cell
space-group type	No. 123
magnetization	0.00	μB per formula unit